! YZnP2 PBE-GGA optimized geometry; values from VASP
! density of states at the Fermi level	0.19	states/eV/atom
! formation energy	-619	meV per atom
! space-group type	No. 8
! magnetization	0.00	Bohr magnetons per cell
&SYSTEM
  ibrav = 0, nat = 4, ntyp = 3
/
ATOMIC_SPECIES
P 30.97 P.upf
Y 88.91 Y.upf
Zn 65.41 Zn.upf
ATOMIC_POSITIONS angstrom
P 7.980 3.017 2.191
P 0.274 0.104 0.289
Y 5.085 1.923 2.358
Zn 2.357 0.891 1.064
CELL_PARAMETERS angstrom
5.523 -0.003 0.010
4.139 3.657 0.010
0.801 0.303 3.914

! Dy3Er2Al4 PBE-GGA optimized geometry; values from VASP
! density of states at the Fermi level	0.64	states/eV/atom
! formation energy	-342	meV per atom
! space-group type	No. 164
! magnetization	0.00	Bohr magnetons per cell
&SYSTEM
  ibrav = 0, nat = 9, ntyp = 3
/
ATOMIC_SPECIES
Er 167.26 Er.upf
Al 26.98 Al.upf
Dy 162.50 Dy.upf
ATOMIC_POSITIONS angstrom
Er -7.229 -3.677 0.012
Er -1.176 -3.215 -1.190
Al -2.004 -0.382 -2.324
Al -5.725 -5.199 -2.374
Al -6.402 -6.510 1.147
Al -2.681 -1.693 1.197
Dy -3.954 -4.965 0.053
Dy -4.452 -1.927 -1.230
Dy 0.000 0.000 0.000
CELL_PARAMETERS angstrom
-2.994 2.348 -3.386
2.241 -4.412 -1.211
-7.653 -4.829 3.419

! CoTe2As PBE-GGA optimized geometry; values from VASP
! density of states at the Fermi level	0.62	states/eV/atom
! space-group type	No. 166
! energy relative to the elements, uncorrected	155	meV/atom
! magnetization	0.00	Bohr magnetons per cell
&SYSTEM
  ibrav = 0, nat = 4, ntyp = 3
/
ATOMIC_SPECIES
Co 58.93 Co.upf
Te 127.60 Te.upf
As 74.92 As.upf
ATOMIC_POSITIONS angstrom
Co 3.806 -0.105 11.938
Te 0.861 -0.024 2.699
Te 6.751 -0.186 21.177
As 0.000 0.000 0.000
CELL_PARAMETERS angstrom
2.434 2.071 8.011
0.822 -1.240 8.495
4.356 -1.042 7.371

! ReSbAs2 PBE-GGA optimized geometry; values from VASP
! density of states at the Fermi level	1.03	states/eV/atom
! space-group type	No. 160
! energy relative to the elements, uncorrected	352	meV/atom
! magnetization	0.00	Bohr magnetons per cell
&SYSTEM
  ibrav = 0, nat = 4, ntyp = 3
/
ATOMIC_SPECIES
Sb 121.76 Sb.upf
Re 186.21 Re.upf
As 74.92 As.upf
ATOMIC_POSITIONS angstrom
Sb -8.226 16.361 8.278
Re -5.465 10.870 5.500
As -10.809 21.497 10.877
As -2.559 5.090 2.575
CELL_PARAMETERS angstrom
-2.343 8.240 2.783
-5.218 6.794 2.785
-3.263 6.493 5.323

! Ac8As4P3N PBE-GGA optimized geometry; values from VASP
! density of states at the Fermi level	0.19	states/eV/atom
! space-group type	No. 12
! energy relative to the elements, uncorrected	-1353	meV/atom
! magnetization	0.00	Bohr magnetons per cell
&SYSTEM
  ibrav = 0, nat = 16, ntyp = 4
/
ATOMIC_SPECIES
As 74.92 As.upf
Ac 227.00 Ac.upf
N 14.01 N.upf
P 30.97 P.upf
ATOMIC_POSITIONS angstrom
As -2.218 -2.216 3.140
As 0.000 0.000 0.000
As 2.218 -2.216 3.140
As 4.436 0.000 0.000
Ac 6.744 2.344 0.024
Ac 4.436 0.038 3.267
Ac 4.436 4.415 3.119
Ac 0.000 0.041 3.166
Ac 0.000 4.417 3.018
Ac 2.308 2.111 6.261
Ac -2.308 2.111 6.261
Ac 2.128 2.344 0.024
N 0.000 4.444 0.002
P -2.218 2.228 3.142
P 2.218 2.228 3.142
P 4.436 4.444 0.002
CELL_PARAMETERS angstrom
8.872 0.000 0.000
0.000 8.888 0.005
-4.436 -4.433 6.280

! GeSeBr2N PBE-GGA optimized geometry; values from VASP
! density of states at the Fermi level	0.01	states/eV/atom
! ΔE to the lowest computed polymorph	0	meV/atom
! space-group type	No. 123
! energy relative to the elements, uncorrected	877	meV/atom
! magnetization	0.00	Bohr magnetons per cell
&SYSTEM
  ibrav = 0, nat = 5, ntyp = 4
/
ATOMIC_SPECIES
N 14.01 N.upf
Ge 72.64 Ge.upf
Se 78.96 Se.upf
Br 79.90 Br.upf
ATOMIC_POSITIONS angstrom
N 0.000 0.000 0.000
Ge 2.267 2.267 2.443
Se 0.000 0.000 2.443
Br 2.267 0.000 0.000
Br 0.000 2.267 0.000
CELL_PARAMETERS angstrom
4.534 0.000 0.000
0.000 4.534 0.000
0.000 0.000 4.886

! Sr2UI8 PBE-GGA optimized geometry; values from VASP
! density of states at the Fermi level	0.42	states/eV/atom
! space-group type	No. 12
! energy relative to the elements, uncorrected	-1217	meV/atom
! magnetization	2.00	Bohr magnetons per cell
&SYSTEM
  ibrav = 0, nat = 11, ntyp = 3
/
ATOMIC_SPECIES
U 238.03 U.upf
I 126.90 I.upf
Sr 87.62 Sr.upf
ATOMIC_POSITIONS angstrom
U 0.000 0.000 0.000
I 1.962 6.199 -0.399
I 2.203 5.047 4.626
I 4.840 3.495 1.197
I 5.081 2.343 6.221
I 1.629 2.343 7.865
I 5.780 7.906 3.170
I 1.264 0.636 2.653
I 5.414 6.199 -2.043
Sr 6.090 4.670 3.821
Sr 0.953 3.872 2.001
CELL_PARAMETERS angstrom
6.960 0.000 -3.315
0.017 8.479 0.036
0.066 0.063 9.102

! Ag4Cl PBE-GGA optimized geometry; values from VASP
! density of states at the Fermi level	0.34	states/eV/atom
! ΔE to the lowest computed polymorph	0	meV/atom
! space-group type	No. 87
! energy relative to the elements, uncorrected	67	meV/atom
! magnetization	0.00	Bohr magnetons per cell
&SYSTEM
  ibrav = 0, nat = 5, ntyp = 2
/
ATOMIC_SPECIES
Ag 107.87 Ag.upf
Cl 35.45 Cl.upf
ATOMIC_POSITIONS angstrom
Ag 1.514 3.123 0.000
Ag -0.735 2.344 1.602
Ag 4.593 1.514 0.000
Ag 2.344 0.735 1.602
Cl 0.000 0.000 0.000
CELL_PARAMETERS angstrom
-3.858 3.858 1.602
3.858 -3.858 1.602
3.858 3.858 -1.602

! LuTlZnCu PBE-GGA optimized geometry; values from VASP
! density of states at the Fermi level	0.62	states/eV/atom
! formation energy	-105	meV per atom
! space-group type	No. 216
! magnetization	0.00	Bohr magnetons per cell
&SYSTEM
  ibrav = 0, nat = 4, ntyp = 4
/
ATOMIC_SPECIES
Zn 65.41 Zn.upf
Tl 204.38 Tl.upf
Lu 174.97 Lu.upf
Cu 63.55 Cu.upf
ATOMIC_POSITIONS angstrom
Zn 2.392 1.381 0.977
Tl 4.785 2.763 1.953
Lu 0.000 0.000 0.000
Cu 7.177 4.144 2.930
CELL_PARAMETERS angstrom
4.785 0.000 0.000
2.392 4.144 0.000
2.392 1.381 3.907

! AgP2Cl PBE-GGA optimized geometry; values from VASP
! density of states at the Fermi level	0.55	states/eV/atom
! ΔE to the lowest computed polymorph	390	meV/atom
! space-group type	No. 139
! energy relative to the elements, uncorrected	272	meV/atom
! magnetization	0.00	Bohr magnetons per cell
&SYSTEM
  ibrav = 0, nat = 4, ntyp = 3
/
ATOMIC_SPECIES
Ag 107.87 Ag.upf
Cl 35.45 Cl.upf
P 30.97 P.upf
ATOMIC_POSITIONS angstrom
Ag 0.422 -1.627 -3.915
Cl -1.944 -1.895 -3.283
P -1.869 -1.097 -7.467
P 0.000 0.000 0.000
CELL_PARAMETERS angstrom
-4.235 -1.365 -6.836
0.497 -0.829 -8.099
2.216 -1.327 7.737

! VFeW PBE-GGA optimized geometry; values from VASP
! density of states at the Fermi level	1.60	states/eV/atom
! formation energy	97	meV per atom
! ΔE to the lowest computed polymorph	159	meV/atom
! space-group type	No. 156
! magnetization	1.49	Bohr magnetons per cell
&SYSTEM
  ibrav = 0, nat = 3, ntyp = 3
/
ATOMIC_SPECIES
Fe 55.84 Fe.upf
V 50.94 V.upf
W 183.84 W.upf
ATOMIC_POSITIONS angstrom
Fe -2.501 -1.676 -0.101
V -3.252 0.477 -1.350
W -0.425 -0.238 -0.742
CELL_PARAMETERS angstrom
-1.241 -0.693 -2.164
-1.317 -3.587 1.904
-2.380 3.537 0.231

! LiSmRuPb PBE-GGA optimized geometry; values from VASP
! density of states at the Fermi level	1.12	states/eV/atom
! formation energy	-183	meV per atom
! space-group type	No. 216
! magnetization	0.00	Bohr magnetons per cell
&SYSTEM
  ibrav = 0, nat = 4, ntyp = 4
/
ATOMIC_SPECIES
Li 6.94 Li.upf
Pb 207.20 Pb.upf
Ru 101.07 Ru.upf
Sm 150.36 Sm.upf
ATOMIC_POSITIONS angstrom
Li 0.944 0.535 2.763
Pb 0.000 0.000 0.000
Ru 2.831 1.606 8.289
Sm 1.887 1.070 5.526
CELL_PARAMETERS angstrom
-0.965 -0.644 4.707
3.624 -0.681 3.146
1.115 3.466 3.200

Which of these has the highest magnetization? Sr2UI8